# 1
Compound: Fe5Rh
Source: Alexandria via LeMat-Bulk
Functional: GGA-PBEsol
Structure: optimized geometry

```
data_Fe5Rh
_chemical_formula_sum 'Fe10 Rh2'
_symmetry_space_group_name_H-M 'C m m m'
_symmetry_Int_Tables_number 65
_symmetry_space_group_name_Hall '-C 2 2'
_cell_length_a 2.8101
_cell_length_b 4.1356
_cell_length_c 11.9874
_cell_angle_alpha 90.00
_cell_angle_beta 90.00
_cell_angle_gamma 90.00
loop_
_atom_site_label
_atom_site_fract_x
_atom_site_fract_y
_atom_site_fract_z
Fe1 0.0000 0.0000 0.0000
Fe2 0.0000 0.0000 0.3235
Fe3 0.0000 0.5000 0.1618
Rh1 0.0000 0.5000 0.5000
```

Properties
energy above the most stable polymorph in this dataset: 6.6 kJ per mole of atoms
formation enthalpy at 0 K: 0.1042 eV/atom
E: -104.7 eV/cell
DOS(E_F): 13.25 states/eV/cell
spin magnetization: 24.949 μB per cell


# 2
Compound: FeRh2
Source: Alexandria via LeMat-Bulk
Functional: GGA-PBEsol
Structure: optimized geometry

```
data_FeRh2
_chemical_formula_sum 'Fe2 Rh4'
_symmetry_space_group_name_H-M 'P 4/n m m'
_symmetry_Int_Tables_number 129
_cell_length_a 2.6737
_cell_length_b 2.6737
_cell_length_c 10.6661
_cell_angle_alpha 90.00
_cell_angle_beta 90.00
_cell_angle_gamma 90.00
loop_
_symmetry_equiv_pos_as_xyz
'x,y,z'
'-x,-y,-z'
'-y+1/2,x,z'
'y+1/2,-x,-z'
'-x+1/2,-y+1/2,z'
'x+1/2,y+1/2,-z'
'y,-x+1/2,z'
'-y,x+1/2,-z'
'x+1/2,-y,-z'
'-x+1/2,y,z'
'-y,-x,-z'
'y,x,z'
'-x,y+1/2,-z'
'x,-y+1/2,z'
'y+1/2,x+1/2,-z'
'-y+1/2,-x+1/2,z'
loop_
_atom_site_label
_atom_site_fract_x
_atom_site_fract_y
_atom_site_fract_z
Fe1 0.2500 0.2500 0.0729
Rh1 0.2500 0.2500 0.4130
Rh2 0.2500 0.2500 0.7665
```

Properties
formation enthalpy at 0 K: 0.0392 eV/atom
E: -50.2 eV/cell
DOS(E_F): 7.90 states/eV/cell
spin magnetization: 5.096 μB per cell


# 3
Compound: FeRh2
Source: Alexandria via LeMat-Bulk
Functional: GGA-PBEsol
Structure: optimized geometry

```
data_FeRh2
_chemical_formula_sum 'Fe8 Rh16'
_symmetry_space_group_name_H-M 'I 41/a m d'
_symmetry_Int_Tables_number 141
_cell_length_a 3.7030
_cell_length_b 3.7030
_cell_length_c 22.5058
_cell_angle_alpha 90.00
_cell_angle_beta 90.00
_cell_angle_gamma 90.00
loop_
_symmetry_equiv_pos_as_xyz
'x,y,z'
'-x,-y,-z'
'-y+1/4,x+3/4,z+1/4'
'y+1/4,-x+3/4,-z+1/4'
'-x+1/2,-y,z+1/2'
'x+1/2,y,-z+1/2'
'y+1/4,-x+1/4,z+3/4'
'-y+1/4,x+1/4,-z+3/4'
'x,-y,-z'
'-x,y,z'
'-y+1/4,-x+1/4,-z+3/4'
'y+1/4,x+1/4,z+3/4'
'-x+1/2,y,-z+1/2'
'x+1/2,-y,z+1/2'
'y+1/4,x+3/4,-z+1/4'
'-y+1/4,-x+3/4,z+1/4'
'x+1/2,y+1/2,z+1/2'
'-x+1/2,-y+1/2,-z+1/2'
'-y+3/4,x+1/4,z+3/4'
'y+3/4,-x+1/4,-z+3/4'
'-x,-y+1/2,z'
'x,y+1/2,-z'
'y+3/4,-x+3/4,z+1/4'
'-y+3/4,x+3/4,-z+1/4'
'x+1/2,-y+1/2,-z+1/2'
'-x+1/2,y+1/2,z+1/2'
'-y+3/4,-x+3/4,-z+1/4'
'y+3/4,x+3/4,z+1/4'
'-x,y+1/2,-z'
'x,-y+1/2,z'
'y+3/4,x+1/4,-z+3/4'
'-y+3/4,-x+1/4,z+3/4'
loop_
_atom_site_label
_atom_site_fract_x
_atom_site_fract_y
_atom_site_fract_z
Fe1 0.0000 0.2500 0.2916
Rh1 0.0000 0.2500 0.1254
Rh2 0.0000 0.2500 0.7913
```

Properties
formation enthalpy at 0 K: 0.0120 eV/atom
E: -201.6 eV/cell
DOS(E_F): 34.25 states/eV/cell
spin magnetization: 24.225 μB per cell


# 4
Compound: FeRh
Source: Alexandria via LeMat-Bulk
Functional: GGA-PBEsol
Structure: optimized geometry

```
data_FeRh
_chemical_formula_sum 'Fe3 Rh3'
_symmetry_space_group_name_H-M 'P m m m'
_symmetry_Int_Tables_number 47
_cell_length_a 2.6325
_cell_length_b 3.6339
_cell_length_c 7.7940
_cell_angle_alpha 90.00
_cell_angle_beta 90.00
_cell_angle_gamma 90.00
loop_
_symmetry_equiv_pos_as_xyz
'x,y,z'
'-x,-y,-z'
'-x,-y,z'
'x,y,-z'
'x,-y,-z'
'-x,y,z'
'-x,y,-z'
'x,-y,z'
loop_
_atom_site_label
_atom_site_fract_x
_atom_site_fract_y
_atom_site_fract_z
Fe1 0.0000 0.0000 0.0000
Fe2 0.5000 0.5000 0.1603
Rh1 0.0000 0.0000 0.3195
Rh2 0.5000 0.5000 0.5000
```

Properties
formation enthalpy at 0 K: 0.0663 eV/atom
E: -50.9 eV/cell
DOS(E_F): 7.97 states/eV/cell
spin magnetization: 7.541 μB per cell


# 5
Compound: FeRh2
Source: Alexandria via LeMat-Bulk
Functional: GGA-PBEsol
Structure: optimized geometry

```
data_FeRh2
_chemical_formula_sum 'Fe4 Rh8'
_symmetry_space_group_name_H-M 'C 1 2/c 1'
_symmetry_Int_Tables_number 15
_cell_length_a 4.5535
_cell_length_b 7.8258
_cell_length_c 4.5678
_cell_angle_alpha 90.00
_cell_angle_beta 110.17
_cell_angle_gamma 90.00
loop_
_symmetry_equiv_pos_as_xyz
'x,y,z'
'-x,-y,-z'
'-x,y,-z+1/2'
'x,-y,z+1/2'
'x+1/2,y+1/2,z'
'-x+1/2,-y+1/2,-z'
'-x+1/2,y+1/2,-z+1/2'
'x+1/2,-y+1/2,z+1/2'
loop_
_atom_site_label
_atom_site_fract_x
_atom_site_fract_y
_atom_site_fract_z
Fe1 0.0000 0.0841 0.2500
Rh1 0.0000 0.2434 0.7500
Rh2 0.0000 0.4182 0.2500
```

Properties
formation enthalpy at 0 K: 0.0203 eV/atom
E: -100.7 eV/cell
DOS(E_F): 16.64 states/eV/cell
spin magnetization: 9.568 μB per cell


# 6
Compound: Fe4Rh
Source: Alexandria via LeMat-Bulk
Functional: GGA-PBEsol
Structure: optimized geometry

```
data_Fe4Rh
_chemical_formula_sum 'Fe12 Rh3'
_symmetry_space_group_name_H-M 'R -3 m'
_symmetry_Int_Tables_number 166
_symmetry_space_group_name_Hall '-R 3 2"'
_cell_length_a 2.6091
_cell_length_b 2.6091
_cell_length_c 29.8486
_cell_angle_alpha 90.00
_cell_angle_beta 90.00
_cell_angle_gamma 120.00
loop_
_atom_site_label
_atom_site_fract_x
_atom_site_fract_y
_atom_site_fract_z
Fe1 0.0000 0.0000 0.0966
Fe2 0.0000 0.0000 0.3017
Rh1 0.0000 0.0000 0.5000
```

Properties
energy above the most stable polymorph in this dataset: 12.6 kJ per mole of atoms
formation enthalpy at 0 K: 0.1632 eV/atom
E: -129.5 eV/cell
DOS(E_F): 21.82 states/eV/cell
spin magnetization: 29.385 μB per cell


# 7
Compound: Fe4Rh
Source: Alexandria via LeMat-Bulk
Functional: GGA-PBEsol
Structure: optimized geometry

```
data_Fe4Rh
_chemical_formula_sum 'Fe8 Rh2'
_symmetry_space_group_name_H-M 'C 1 2/m 1'
_symmetry_Int_Tables_number 12
_cell_length_a 11.7225
_cell_length_b 4.0142
_cell_length_c 2.5366
_cell_angle_alpha 90.00
_cell_angle_beta 98.00
_cell_angle_gamma 90.00
loop_
_symmetry_equiv_pos_as_xyz
'x,y,z'
'-x,-y,-z'
'-x,y,-z'
'x,-y,z'
'x+1/2,y+1/2,z'
'-x+1/2,-y+1/2,-z'
'-x+1/2,y+1/2,-z'
'x+1/2,-y+1/2,z'
loop_
_atom_site_label
_atom_site_fract_x
_atom_site_fract_y
_atom_site_fract_z
Fe1 0.1029 0.0000 0.4247
Fe2 0.2039 0.5000 0.8002
Rh1 0.0000 0.5000 0.0000
```

Properties
energy above the most stable polymorph in this dataset: 4.1 kJ per mole of atoms
formation enthalpy at 0 K: 0.0746 eV/atom
E: -87.2 eV/cell
DOS(E_F): 9.23 states/eV/cell
spin magnetization: 21.822 μB per cell


# 8
Compound: FeRh
Source: Alexandria via LeMat-Bulk
Functional: GGA-PBEsol
Structure: optimized geometry

```
data_FeRh
_chemical_formula_sum 'Fe3 Rh3'
_symmetry_space_group_name_H-M 'P 4 m m'
_symmetry_Int_Tables_number 99
_cell_length_a 2.6593
_cell_length_b 2.6593
_cell_length_c 10.5087
_cell_angle_alpha 90.00
_cell_angle_beta 90.00
_cell_angle_gamma 90.00
loop_
_symmetry_equiv_pos_as_xyz
'x,y,z'
'-y,x,z'
'-x,-y,z'
'y,-x,z'
'-x,y,z'
'y,x,z'
'x,-y,z'
'-y,-x,z'
loop_
_atom_site_label
_atom_site_fract_x
_atom_site_fract_y
_atom_site_fract_z
Fe1 0.0000 0.0000 0.0000
Fe2 0.0000 0.0000 0.3343
Fe3 0.5000 0.5000 0.4875
Rh1 0.0000 0.0000 0.6513
Rh2 0.5000 0.5000 0.1686
Rh3 0.5000 0.5000 0.8344
```

Properties
formation enthalpy at 0 K: 0.0543 eV/atom
E: -51.0 eV/cell
DOS(E_F): 8.44 states/eV/cell
spin magnetization: 7.705 μB per cell


# 9
Compound: FeRh2
Source: Alexandria via LeMat-Bulk
Functional: GGA-PBEsol
Structure: optimized geometry

```
data_FeRh2
_chemical_formula_sum 'Fe2 Rh4'
_symmetry_space_group_name_H-M 'P 1 21/m 1'
_symmetry_Int_Tables_number 11
_cell_length_a 4.5378
_cell_length_b 2.6467
_cell_length_c 6.3987
_cell_angle_alpha 90.00
_cell_angle_beta 90.14
_cell_angle_gamma 90.00
loop_
_symmetry_equiv_pos_as_xyz
'x,y,z'
'-x,-y,-z'
'-x,y+1/2,-z'
'x,-y+1/2,z'
loop_
_atom_site_label
_atom_site_fract_x
_atom_site_fract_y
_atom_site_fract_z
Fe1 0.0826 0.2500 0.1624
Rh1 0.2467 0.7500 0.4958
Rh2 0.4109 0.2500 0.8378
```

Properties
formation enthalpy at 0 K: 0.0275 eV/atom
E: -50.3 eV/cell
DOS(E_F): 8.35 states/eV/cell
spin magnetization: 5.524 μB per cell


# 10
Compound: FeRh4
Source: Alexandria via LeMat-Bulk
Functional: GGA-PBEsol
Structure: optimized geometry

```
data_FeRh4
_chemical_formula_sum 'Fe3 Rh12'
_symmetry_space_group_name_H-M 'R -3 m'
_symmetry_Int_Tables_number 166
_symmetry_space_group_name_Hall '-R 3 2"'
_cell_length_a 2.6530
_cell_length_b 2.6530
_cell_length_c 32.0842
_cell_angle_alpha 90.00
_cell_angle_beta 90.00
_cell_angle_gamma 120.00
loop_
_atom_site_label
_atom_site_fract_x
_atom_site_fract_y
_atom_site_fract_z
Fe1 0.0000 0.0000 0.0000
Rh1 0.0000 0.0000 0.2004
Rh2 0.0000 0.0000 0.3972
```

Properties
energy above the most stable polymorph in this dataset: 0.9 kJ per mole of atoms
formation enthalpy at 0 K: 0.0142 eV/atom
E: -124.3 eV/cell
DOS(E_F): 19.26 states/eV/cell
spin magnetization: 7.634 μB per cell


Question: What is the formation enthalpy at 0 K in the fifth record?
Answer: 0.0203 eV/atom